1.
{
  "formula": "Tb2SmDySb4",
  "functional": "PBE-GGA",
  "state": "relaxed",
  "formation_energy_uncorrected_kcal_per_mol_atoms": -26.52,
  "spacegroup": "P2/m, No. 10",
  "total_magnetization_mub_per_cell": 0.00,
  "rho_g_cm3": 7.62,
  "lattice": [[-0.4941, 3.0628, 3.1446], [-7.2267, -2.2623, 1.0681], [-0.1922, -5.4911, 5.3181]],
  "species": ["Sb", "Sb", "Sb", "Sb", "Sm", "Tb", "Tb", "Dy"],
  "frac_coords": [[0.0000, 0.2475, 0.2534], [0.5000, 0.7508, 0.2522], [0.0000, 0.7525, 0.7466], [0.5000, 0.2492, 0.7478], [0.5000, 0.5000, 0.0000], [0.0000, 0.0000, 0.0000], [0.5000, 0.0000, 0.5000], [0.0000, 0.5000, 0.5000]]
}

---

2.
{
  "formula": "Sm2DySb2Te2",
  "functional": "PBE-GGA",
  "state": "relaxed",
  "formation_energy_uncorrected_kcal_per_mol_atoms": -17.03,
  "spacegroup": "I4/mmm, No. 139",
  "total_magnetization_mub_per_cell": 0.00,
  "rho_g_cm3": 6.29,
  "lattice": [[-3.3822, -4.5909, 0.5780], [1.1251, -0.1215, 5.6187], [-4.9223, 6.9790, -1.7868]],
  "species": ["Sb", "Sb", "Te", "Te", "Sm", "Sm", "Dy"],
  "frac_coords": [[0.0000, 0.5000, 0.0000], [0.5000, 0.0000, 0.0000], [0.8048, 0.8048, 0.6097], [0.1952, 0.1952, 0.3903], [0.3864, 0.3864, 0.7728], [0.6136, 0.6136, 0.2272], [0.0000, 0.0000, 0.0000]]
}

---

3.
{
  "formula": "SmDySbTe",
  "functional": "PBE-GGA",
  "state": "relaxed",
  "formation_energy_uncorrected_kcal_per_mol_atoms": -29.72,
  "spacegroup": "R3m, No. 160",
  "total_magnetization_mub_per_cell": 0.00,
  "rho_g_cm3": 7.65,
  "lattice": [[4.4136, 0.0000, 0.0000], [2.2068, 3.8223, 0.0000], [2.2068, 1.2741, 7.2361]],
  "species": ["Te", "Sm", "Dy", "Sb"],
  "frac_coords": [[0.1919, 0.1919, 0.4243], [0.9478, 0.9478, 0.1566], [0.4404, 0.4404, 0.6787], [0.6963, 0.6963, 0.9111]]
}

---

4.
{
  "formula": "SmDyTh2Sb4",
  "functional": "PBE-GGA",
  "state": "relaxed",
  "formation_energy_uncorrected_kcal_per_mol_atoms": -23.89,
  "spacegroup": "P2/m, No. 10",
  "total_magnetization_mub_per_cell": 0.00,
  "rho_g_cm3": 8.33,
  "lattice": [[4.4779, 0.0000, 0.0000], [0.0000, 7.7080, -0.1318], [0.0000, 2.7328, 7.2565]],
  "species": ["Sm", "Th", "Th", "Sb", "Sb", "Sb", "Sb", "Dy"],
  "frac_coords": [[0.5000, 0.5000, 0.0000], [0.5000, 0.0000, 0.5000], [0.0000, 0.0000, 0.0000], [0.5000, 0.2568, 0.7453], [0.0000, 0.7451, 0.7492], [0.5000, 0.7432, 0.2547], [0.0000, 0.2549, 0.2508], [0.0000, 0.5000, 0.5000]]
}